[1]
! Tl2IrPbO8 (GGA-PBE, optimized geometry); values from VASP
&SYSTEM
  ibrav = 0, nat = 12, ntyp = 4
/
ATOMIC_SPECIES
Tl 204.38 Tl.upf
Ir 192.22 Ir.upf
Pb 207.20 Pb.upf
O 16.00 O.upf
CELL_PARAMETERS angstrom
-1.811 -4.464 1.482
4.686 -1.533 0.658
-0.182 2.215 6.449
ATOMIC_POSITIONS crystal
Tl 0.500 0.500 0.753
Tl 0.500 0.500 0.247
Ir 0.000 0.000 0.000
Pb 0.000 0.000 0.500
O 0.165 0.809 0.218
O 0.713 0.742 0.000
O 0.835 0.192 0.218
O 0.835 0.191 0.782
O 0.287 0.258 0.000
O 0.165 0.808 0.782
O 0.679 0.712 0.500
O 0.321 0.288 0.500
! Total energy (eV per atom): -5.385
! Space group: P2/m, No. 10
! N(E_F) (states/eV/atom): 0.409
! Crystal system: monoclinic
! E_form (uncorrected) (eV per atom): -0.637

***

[2]
! Tl2IrPb2O6 (GGA-PBE, optimized geometry); values from VASP
&SYSTEM
  ibrav = 0, nat = 11, ntyp = 4
/
ATOMIC_SPECIES
Tl 204.38 Tl.upf
Ir 192.22 Ir.upf
Pb 207.20 Pb.upf
O 16.00 O.upf
CELL_PARAMETERS angstrom
-0.500 4.608 3.851
1.195 -5.478 2.209
6.042 1.372 -2.189
ATOMIC_POSITIONS crystal
Tl 0.836 0.164 0.000
Tl 0.164 0.836 0.000
Ir 0.000 0.000 0.500
Pb 0.335 0.665 0.500
Pb 0.665 0.335 0.500
O 0.793 0.793 0.691
O 0.045 0.327 0.664
O 0.207 0.207 0.309
O 0.327 0.045 0.664
O 0.955 0.673 0.336
O 0.673 0.955 0.336
! Total energy (eV per atom): -5.448
! Space group: C2/m, No. 12
! N(E_F) (states/eV/atom): 0.348
! Crystal system: monoclinic
! E_form (uncorrected) (eV per atom): -0.833

***

[3]
! TlIrPb2O8 (GGA-PBE, optimized geometry); values from VASP
&SYSTEM
  ibrav = 0, nat = 12, ntyp = 4
/
ATOMIC_SPECIES
Tl 204.38 Tl.upf
Ir 192.22 Ir.upf
Pb 207.20 Pb.upf
O 16.00 O.upf
CELL_PARAMETERS angstrom
-3.614 -1.916 -2.765
-2.273 -1.532 4.090
-3.465 6.039 0.340
ATOMIC_POSITIONS crystal
Tl 0.000 0.000 0.500
Ir 0.000 0.000 0.000
Pb 0.500 0.500 0.754
Pb 0.500 0.500 0.246
O 0.180 0.814 0.215
O 0.718 0.724 0.000
O 0.819 0.185 0.215
O 0.820 0.186 0.785
O 0.282 0.276 0.000
O 0.181 0.815 0.785
O 0.687 0.692 0.500
O 0.313 0.308 0.500
! Total energy (eV per atom): -5.587
! Space group: P2/m, No. 10
! N(E_F) (states/eV/atom): 0.472
! Crystal system: monoclinic
! E_form (uncorrected) (eV per atom): -0.728

***

[4]
! TlIr3Pb2O8 (GGA-PBE, optimized geometry); values from VASP
&SYSTEM
  ibrav = 0, nat = 14, ntyp = 4
/
ATOMIC_SPECIES
Tl 204.38 Tl.upf
Ir 192.22 Ir.upf
Pb 207.20 Pb.upf
O 16.00 O.upf
CELL_PARAMETERS angstrom
-5.296 2.141 3.046
-4.247 -4.220 2.462
-0.206 -0.677 6.996
ATOMIC_POSITIONS crystal
Tl 0.871 0.871 0.387
Ir 0.500 0.997 0.002
Ir 0.997 0.500 0.002
Ir 0.500 0.500 0.002
Pb 0.117 0.117 0.648
Pb 0.501 0.501 0.497
O 0.279 0.279 0.163
O 0.719 0.719 0.844
O 0.247 0.247 0.822
O 0.685 0.247 0.822
O 0.247 0.685 0.822
O 0.755 0.319 0.170
O 0.319 0.755 0.170
O 0.755 0.755 0.170
! Total energy (eV per atom): -6.191
! Space group: R3m, No. 160
! N(E_F) (states/eV/atom): 0.419
! Crystal system: trigonal
! E_form (uncorrected) (eV per atom): -0.760

***

[5]
! TmIrPbO6 (GGA-PBE, optimized geometry); values from VASP
&SYSTEM
  ibrav = 0, nat = 18, ntyp = 4
/
ATOMIC_SPECIES
Tm 168.93 Tm.upf
Ir 192.22 Ir.upf
Pb 207.20 Pb.upf
O 16.00 O.upf
CELL_PARAMETERS angstrom
5.525 0.000 0.000
-2.762 4.785 0.000
0.000 0.000 9.552
ATOMIC_POSITIONS crystal
Tm 0.333 0.667 0.250
Tm 0.667 0.333 0.750
Ir 0.667 0.333 0.250
Ir 0.333 0.667 0.750
Pb 0.000 0.000 0.000
Pb 0.000 0.000 0.500
O 0.654 0.619 0.135
O 0.965 0.346 0.135
O 0.346 0.965 0.635
O 0.035 0.654 0.865
O 0.381 0.346 0.365
O 0.965 0.619 0.365
O 0.619 0.965 0.865
O 0.654 0.035 0.365
O 0.035 0.381 0.635
O 0.381 0.035 0.135
O 0.619 0.654 0.635
O 0.346 0.381 0.865
! Total energy (eV per atom): -6.709
! Space group: P-31c, No. 163
! N(E_F) (states/eV/atom): 0.652
! Crystal system: trigonal
! E_form (uncorrected) (eV per atom): -1.510

***

[6]
! Tm2IrPbO8 (GGA-PBE, optimized geometry); values from VASP
&SYSTEM
  ibrav = 0, nat = 12, ntyp = 4
/
ATOMIC_SPECIES
Tm 168.93 Tm.upf
Ir 192.22 Ir.upf
Pb 207.20 Pb.upf
O 16.00 O.upf
CELL_PARAMETERS angstrom
4.948 -0.065 -0.003
-0.046 4.948 -0.005
0.004 0.007 6.776
ATOMIC_POSITIONS crystal
Tm 0.500 0.500 0.751
Tm 0.500 0.500 0.249
Ir 0.000 0.000 0.000
Pb 0.000 0.000 0.500
O 0.185 0.815 0.217
O 0.725 0.725 0.000
O 0.815 0.185 0.217
O 0.815 0.185 0.783
O 0.275 0.275 0.000
O 0.185 0.815 0.783
O 0.691 0.691 0.500
O 0.309 0.309 0.500
! Total energy (eV per atom): -7.023
! Space group: Cmmm, No. 65
! N(E_F) (states/eV/atom): 0.327
! Crystal system: orthorhombic
! E_form (uncorrected) (eV per atom): -1.925

***

[7]
! TmIr2PbO8 (GGA-PBE, optimized geometry); values from VASP
&SYSTEM
  ibrav = 0, nat = 12, ntyp = 4
/
ATOMIC_SPECIES
Tm 168.93 Tm.upf
Ir 192.22 Ir.upf
Pb 207.20 Pb.upf
O 16.00 O.upf
CELL_PARAMETERS angstrom
-2.263 4.178 -2.967
-1.962 -1.189 5.110
4.272 4.168 2.610
ATOMIC_POSITIONS crystal
Tm 0.000 0.000 0.000
Ir 0.667 0.333 0.052
Ir 0.333 0.667 0.948
Pb 0.000 0.000 0.500
O 0.939 0.616 0.860
O 0.384 0.323 0.860
O 0.677 0.061 0.860
O 0.061 0.384 0.140
O 0.616 0.677 0.140
O 0.323 0.939 0.140
O 0.667 0.333 0.339
O 0.333 0.667 0.661
! Total energy (eV per atom): -6.370
! Space group: P-3, No. 147
! N(E_F) (states/eV/atom): 0.777
! Crystal system: trigonal
! E_form (uncorrected) (eV per atom): -0.906

***

[8]
! TmIrPb2O8 (GGA-PBE, optimized geometry); values from VASP
&SYSTEM
  ibrav = 0, nat = 12, ntyp = 4
/
ATOMIC_SPECIES
Tm 168.93 Tm.upf
Ir 192.22 Ir.upf
Pb 207.20 Pb.upf
O 16.00 O.upf
CELL_PARAMETERS angstrom
4.966 0.003 -0.003
0.038 4.964 -0.006
0.004 0.007 6.756
ATOMIC_POSITIONS crystal
Tm 0.000 0.000 0.500
Ir 0.000 0.000 0.000
Pb 0.500 0.500 0.753
Pb 0.500 0.500 0.247
O 0.183 0.815 0.225
O 0.720 0.722 0.000
O 0.817 0.185 0.225
O 0.817 0.185 0.775
O 0.280 0.278 0.000
O 0.183 0.815 0.775
O 0.692 0.693 0.500
O 0.308 0.307 0.500
! Total energy (eV per atom): -6.377
! Space group: P2/m, No. 10
! N(E_F) (states/eV/atom): 0.361
! Crystal system: monoclinic
! E_form (uncorrected) (eV per atom): -1.342

***

Repeat the seventh record exactly.
! TmIr2PbO8 (GGA-PBE, optimized geometry); values from VASP
&SYSTEM
  ibrav = 0, nat = 12, ntyp = 4
/
ATOMIC_SPECIES
Tm 168.93 Tm.upf
Ir 192.22 Ir.upf
Pb 207.20 Pb.upf
O 16.00 O.upf
CELL_PARAMETERS angstrom
-2.263 4.178 -2.967
-1.962 -1.189 5.110
4.272 4.168 2.610
ATOMIC_POSITIONS crystal
Tm 0.000 0.000 0.000
Ir 0.667 0.333 0.052
Ir 0.333 0.667 0.948
Pb 0.000 0.000 0.500
O 0.939 0.616 0.860
O 0.384 0.323 0.860
O 0.677 0.061 0.860
O 0.061 0.384 0.140
O 0.616 0.677 0.140
O 0.323 0.939 0.140
O 0.667 0.333 0.339
O 0.333 0.667 0.661
! Total energy (eV per atom): -6.370
! Space group: P-3, No. 147
! N(E_F) (states/eV/atom): 0.777
! Crystal system: trigonal
! E_form (uncorrected) (eV per atom): -0.906